Below is crystalline CrF3 at its relaxed geometry, with properties calculated at the PBE with a Hubbard U level.

Output
As for the density: 2.8 g/cm3. As for the raw total energy: -16.02 eV/f.u. The value obtained for the size of the total moment is 7.92 μB/cell.

abc: 3.230 3.230 21.418
angles: 90.00 90.00 120.00
Fractional positions:
Cr 0.000 0.000 0.000
Cr 0.333 0.667 0.667
Cr 0.667 0.333 0.333
F 0.000 0.000 0.083
F 0.000 0.000 0.500
F 0.000 0.000 0.917
F 0.333 0.667 0.167
F 0.333 0.667 0.584
F 0.333 0.667 0.750
F 0.667 0.333 0.250
F 0.667 0.333 0.416
F 0.667 0.333 0.833